Entry 1:
Computed, not measured: a relaxed UAlZnGa crystal at the PBE level of DFT.

For the calculated formation energy, the calculation gives 16 meV per atom. The calculation puts the total energy at -4.82 eV per atom.

abc: 4.730 4.730 4.730
angles: 60.00 60.00 60.00
Site moments in Bohr magnetons follow the coordinates.
Fractional positions:
Zn 0.500 0.500 0.500  0.00
U 0.750 0.750 0.750  1.87
Al 0.250 0.250 0.250  -0.02
Ga 0.000 0.000 0.000  0.02

Entry 2:
Computed, not measured: a relaxed TbSbPd crystal at the PBE level of DFT.

The calculation puts the total energy at -5.73 eV per atom. The value obtained for the energy relative to the elements, uncorrected is -3.25 eV per formula unit.

abc: 4.611 4.611 7.442
angles: 90.00 90.00 120.00
Fractional positions:
Sb 0.333 0.667 0.289
Sb 0.667 0.333 0.789
Tb 0.000 0.000 0.017
Tb 0.000 0.000 0.517
Pd 0.333 0.667 0.685
Pd 0.667 0.333 0.185